# 1
## TaMnPt (PBE-GGA)

Data for crystalline TaMnPt at its relaxed geometry.

Cell lengths 4.927, 4.927, 4.927 Å; angles 140.98, 140.98, 56.37 degrees
Site moments in Bohr magnetons follow the coordinates.
Element x y z (fractional)
Mn1 0.003 0.003 0.000  2.98
Pt1 0.334 0.334 0.000  0.15
Ta1 0.663 0.663 0.000  -0.28

Calculated values
E above lowest polymorph = 0.0 meV per atom
Raw total energy = -9.3746 eV per atom
Density of states at the Fermi level = 1.8 states/eV/cell

# 2
## CuOsBr2 (PBE-GGA)

Data for crystalline CuOsBr2 at its relaxed geometry.

Cell lengths 5.983, 5.983, 3.077 Å; angles 59.36, 59.36, 83.75 degrees
Element x y z (fractional)
Br1 0.000 0.000 0.000
Br2 0.500 0.500 0.000
Cu1 0.500 0.000 0.500
Os1 0.000 0.500 0.500

Calculated values
E above lowest polymorph = 568.7 meV per atom
Uncorrected formation energy = 3.957 eV/f.u.
Raw total energy = -3.6786 eV per atom
Density of states at the Fermi level = 2.8 states/eV/cell